1.
A plane-wave DFT calculation with PBE was carried out for a relaxed structure of AcPd2Br8.

Its uncorrected formation energy is -0.805 eV per atom. The spin magnetization is 0.85 μB per formula unit.

The structure belongs to space group I422 (No. 97); the cell edges are 7.332, 7.332 and 13.158 Å and the angles 90.00°, 90.00° and 90.00°. The distinct sites, in fractional coordinates, are Ac at (0.000, 0.000, 0.000), Pd at (0.000, 0.500, 0.250) and Br at (0.168, 0.323, 0.619).


2.
A plane-wave DFT calculation with PBE was carried out for a relaxed structure of Ce6SmSe8.

Its uncorrected formation energy is -1.835 eV per atom. The spin magnetization is 6.77 μB per formula unit.

The structure belongs to space group Fm-3m (No. 225); the cell edges are 11.868, 11.868 and 11.868 Å and the angles 90.00°, 90.00° and 90.00°. The distinct sites, in fractional coordinates, are Ce at (0.000, 0.250, 0.250), Sm at (0.000, 0.000, 0.000), Se at (0.000, 0.000, 0.250) and Se at (0.250, 0.250, 0.250).